1.
Material: YNi2HRh
Method: DFT, PBE
State: optimized geometry

Structure (POSCAR):
```
YNi2HRh
1.0
3.958 0.000 0.000
0.000 3.958 0.000
0.000 0.000 3.996
H Rh Ni Y
1 1 2 1
direct
0.000 0.000 0.000 H
0.000 0.000 0.500 Rh
0.500 0.000 0.000 Ni
0.000 0.500 0.000 Ni
0.500 0.500 0.500 Y
```

Calculated values
N(E_F) ... 4.61 states/eV/cell
Density ... 8.2 g/cm³
Raw total energy ... -6.091 eV per atom

2.
Material: Fe2Co5Ir
Method: DFT, PBE
State: optimized geometry

Structure (POSCAR):
```
Fe2Co5Ir
1.0
3.723 0.000 -1.396
-0.523 3.686 -1.396
0.353 0.407 6.603
Fe Co Ir
2 5 1
direct
0.251 0.251 0.501 Fe
0.749 0.749 0.499 Fe
0.867 0.367 0.734 Co
0.367 0.867 0.734 Co
0.133 0.633 0.266 Co
0.500 0.500 0.000 Co
0.633 0.133 0.266 Co
0.000 0.000 0.000 Ir
```

Calculated values
N(E_F) ... 6.06 states/eV/cell
E_form ... 33 meV per atom
Density ... 10.5 g/cm³
Raw total energy ... -7.632 eV per atom

3.
Material: Y4NiGe8
Method: DFT, PBE
State: optimized geometry

Structure (POSCAR):
```
Y4NiGe8
1.0
-0.317 3.927 -0.672
-2.276 0.397 3.395
13.460 2.578 8.723
Ge Ni Y
8 1 4
direct
0.000 0.500 0.240 Ge
0.000 0.000 0.748 Ge
0.500 0.000 0.240 Ge
0.000 0.500 0.944 Ge
0.500 0.500 0.047 Ge
0.500 0.000 0.558 Ge
0.000 0.000 0.458 Ge
0.500 0.500 0.753 Ge
0.000 0.000 0.315 Ni
0.000 0.000 0.103 Y
0.500 0.500 0.396 Y
0.500 0.000 0.895 Y
0.000 0.500 0.606 Y
```

Calculated values
N(E_F) ... 5.07 states/eV/cell
E_form ... -660 meV per atom
Density ... 6.2 g/cm³
Raw total energy ... -5.935 eV per atom

- The highest N(E_F) belongs to which entry?
  Fe2Co5Ir